An optimized crystal structure of AcBiPb2. Source: Alexandria via LeMat-Bulk, functional GGA-PBE.

## Properties
Distance to the lowest polymorph of the same formula   225 meV/atom
E_tot   -4.081 eV/atom
ΔH_f (0 K)   -229 meV/atom

a = 5.7654 Å, b = 5.7654 Å, c = 5.7654 Å
α = 60.00°, β = 60.00°, γ = 60.00°
Last column: nearest neighbours and their distance in Å.
Positions (direct):
1 Pb 0.2500 0.2500 0.2500  4 Bi 3.53, 4 Ac 3.53
2 Pb 0.7500 0.7500 0.7500  4 Bi 3.53, 4 Ac 3.53
3 Bi 0.5000 0.5000 0.5000  8 Pb 3.53
4 Ac 0.0000 0.0000 0.0000  8 Pb 3.53

---

An optimized crystal structure of YHo2UN4. Source: Alexandria via LeMat-Bulk, functional GGA-PBE.

## Properties
E_form (uncorrected)   -1.633 eV/atom
E_tot   -9.159 eV/atom

a = 3.4509 Å, b = 5.9672 Å, c = 5.9618 Å
α = 109.01°, β = 90.00°, γ = 90.00°
Last column: nearest neighbours and their distance in Å.
Positions (direct):
1 Ho 0.0000 0.5000 0.5000  6 N 2.48-2.54
2 N 0.5000 0.2409 0.2428  2 U 2.40, 3 Ho 2.42-2.48, 1 Y 2.44
3 Ho 0.5000 0.0000 0.5000  6 N 2.42-2.44
4 N 0.5000 0.7591 0.7572  2 U 2.40, 3 Ho 2.42-2.48, 1 Y 2.44
5 Y 0.5000 0.5000 0.0000  6 N 2.44-2.46
6 N 0.0000 0.7637 0.2401  1 U 2.31, 3 Ho 2.44-2.54, 2 Y 2.46
7 U 0.0000 0.0000 0.0000  6 N 2.31-2.40
8 N 0.0000 0.2363 0.7599  1 U 2.31, 3 Ho 2.44-2.54, 2 Y 2.46

---

An optimized crystal structure of Sr2MgPPb. Source: Alexandria via LeMat-Bulk, functional GGA-PBE.

## Properties
Distance to the lowest polymorph of the same formula   942 meV/atom
E_tot   -2.445 eV/atom
ΔH_f (0 K)   370 meV/atom

a = 6.1314 Å, b = 5.0682 Å, c = 6.1314 Å
α = 90.00°, β = 90.00°, γ = 90.00°
Last column: nearest neighbours and their distance in Å.
Positions (direct):
1 Mg 0.0000 0.0000 0.0000  2 Pb 2.53
2 Sr 0.5000 0.0000 0.0000  2 Mg 3.07
3 Pb 0.0000 0.5000 0.0000  2 Mg 2.53
4 P 0.5000 0.5000 0.5000  8 Sr 3.98, 4 Pb 4.34
5 Sr 0.0000 0.0000 0.5000  2 Mg 3.07

---

An optimized crystal structure of Te4C3. Source: Alexandria via LeMat-Bulk, functional GGA-PBE.

## Properties
Distance to the lowest polymorph of the same formula   0 meV/atom
E_form (uncorrected)   1.491 eV/atom
E_tot   -4.258 eV/atom

a = 5.2872 Å, b = 5.2872 Å, c = 5.2872 Å
α = 90.00°, β = 90.00°, γ = 90.00°
Last column: nearest neighbours and their distance in Å.
Positions (direct):
1 Te 0.2406 0.2406 0.7594  3 C 2.32
2 Te 0.7594 0.2406 0.2406  3 C 2.32
3 C 0.5000 0.5000 0.0000  4 Te 2.32
4 C 0.0000 0.5000 0.5000  4 Te 2.32
5 Te 0.7594 0.7594 0.7594  3 C 2.32
6 Te 0.2406 0.7594 0.2406  3 C 2.32
7 C 0.5000 0.0000 0.5000  4 Te 2.32